Entry 1:
Here is crystalline Rh4SeBr at its relaxed geometry from Alexandria. Energies are from GGA-PBE.

Results
Crystal system: cubic
Calculated density: 9.136 g cm⁻³
Raw formation energy: 0.769 eV per atom
Magnetic moment: 2.0 Bohr magnetons per cell

a = 5.273 Å, b = 5.273 Å, c = 5.273 Å
α = 60.00°, β = 60.00°, γ = 60.00°
Positions (direct):
Rh1 0.873 0.376 0.376
Rh2 0.376 0.376 0.873
Rh3 0.376 0.873 0.376
Rh4 0.376 0.376 0.376
Se1 0.750 0.750 0.750
Br1 0.000 0.000 0.000

=====

Entry 2:
Here is crystalline RhSe3Br at its relaxed geometry from Alexandria. Energies are from GGA-PBE.

Results
Crystal system: cubic
Calculated density: 5.848 g cm⁻³
Raw formation energy: 0.429 eV per atom
E above lowest polymorph: 0 meV/atom
Magnetic moment: 0.0 Bohr magnetons per cell

a = 4.921 Å, b = 4.921 Å, c = 4.921 Å
α = 90.00°, β = 90.00°, γ = 90.00°
Positions (direct):
Rh1 0.000 0.000 0.000
Se1 0.000 0.500 0.000
Se2 0.000 0.000 0.500
Se3 0.500 0.000 0.000
Br1 0.500 0.500 0.500

=====

Entry 3:
Here is crystalline Rh2SeBr at its relaxed geometry from Alexandria. Energies are from GGA-PBE.

Results
Crystal system: cubic
Calculated density: 9.143 g cm⁻³
Raw formation energy: 0.338 eV per atom
E above lowest polymorph: 375 meV/atom
Magnetic moment: 0.0 Bohr magnetons per cell

a = 4.541 Å, b = 4.541 Å, c = 4.541 Å
α = 60.00°, β = 60.00°, γ = 60.00°
Positions (direct):
Rh1 0.250 0.250 0.250
Rh2 0.750 0.750 0.750
Se1 0.000 0.000 0.000
Br1 0.500 0.500 0.500

=====

Entry 4:
Here is crystalline Rh2Se9Br6 at its relaxed geometry from Alexandria. Energies are from GGA-PBE.

Results
Crystal system: tetragonal
Calculated density: 4.449 g cm⁻³
Raw formation energy: -0.256 eV per atom
Magnetic moment: 0.0 Bohr magnetons per cell

a = 12.765 Å, b = 12.765 Å, c = 15.653 Å
α = 114.06°, β = 114.06°, γ = 90.00°
Positions (direct):
Rh1 0.882 0.412 0.037
Rh2 0.156 0.626 0.037
Rh3 0.876 0.632 0.537
Rh4 0.662 0.906 0.537
Rh5 0.368 0.338 0.463
Rh6 0.094 0.124 0.463
Rh7 0.374 0.118 0.963
Rh8 0.588 0.844 0.963
Se1 0.955 0.596 0.913
Se2 0.958 0.316 0.913
Se3 0.566 0.705 0.413
Se4 0.846 0.708 0.413
Se5 0.295 0.154 0.587
Se6 0.292 0.434 0.587
Se7 0.684 0.045 0.087
Se8 0.404 0.042 0.087
Se9 0.066 0.505 0.194
Se10 0.129 0.690 0.194
Se11 0.940 0.816 0.694
Se12 0.755 0.879 0.694
Se13 0.184 0.245 0.306
Se14 0.121 0.060 0.306
Se15 0.310 0.934 0.806
Se16 0.495 0.871 0.806
Se17 0.417 0.173 0.499
Se18 0.082 0.326 0.499
Se19 0.576 0.167 0.999
Se20 0.423 0.832 0.999
Se21 0.833 0.577 0.001
Se22 0.168 0.424 0.001
Se23 0.674 0.583 0.501
Se24 0.827 0.918 0.501
Se25 0.310 0.003 0.337
Se26 0.027 0.334 0.337
Se27 0.584 0.060 0.837
Se28 0.253 0.777 0.837
Se29 0.940 0.747 0.163
Se30 0.223 0.416 0.163
Se31 0.666 0.690 0.663
Se32 0.997 0.973 0.663
Se33 0.894 0.394 0.788
Se34 0.644 0.644 0.288
Se35 0.356 0.356 0.712
Se36 0.606 0.106 0.212
Br1 0.736 0.122 0.667
Br2 0.931 0.545 0.667
Br3 0.795 0.486 0.167
Br4 0.372 0.681 0.167
Br5 0.514 0.628 0.833
Br6 0.319 0.205 0.833
Br7 0.455 0.264 0.333
Br8 0.878 0.069 0.333
Br9 0.563 0.963 0.389
Br10 0.826 0.426 0.389
Br11 0.676 0.313 0.889
Br12 0.213 0.576 0.889
Br13 0.687 0.787 0.111
Br14 0.424 0.324 0.111
Br15 0.574 0.437 0.611
Br16 0.037 0.174 0.611
Br17 0.336 0.517 0.427
Br18 0.091 0.910 0.427
Br19 0.160 0.086 0.927
Br20 0.767 0.841 0.927
Br21 0.914 0.233 0.073
Br22 0.159 0.840 0.073
Br23 0.090 0.664 0.573
Br24 0.483 0.909 0.573

=====

Entry 5:
Here is crystalline RhSeBr at its relaxed geometry from Alexandria. Energies are from GGA-PBE.

Results
Crystal system: cubic
Calculated density: 6.492 g cm⁻³
Raw formation energy: 0.822 eV per atom
Magnetic moment: 0.0 Bohr magnetons per cell

a = 4.558 Å, b = 4.558 Å, c = 4.558 Å
α = 60.00°, β = 60.00°, γ = 60.00°
Positions (direct):
Br1 0.000 0.000 0.000
Rh1 0.500 0.500 0.500
Se1 0.750 0.750 0.750

=====

Entry 6:
Here is crystalline RhSeBr at its relaxed geometry from Alexandria. Energies are from GGA-PBE.

Results
Crystal system: monoclinic
Calculated density: 6.641 g cm⁻³
Raw formation energy: -0.292 eV per atom
Magnetic moment: 0.0 Bohr magnetons per cell

a = 6.018 Å, b = 6.787 Å, c = 6.889 Å
α = 111.49°, β = 90.00°, γ = 90.00°
Positions (direct):
Rh1 0.025 0.248 0.281
Rh2 0.475 0.748 0.281
Rh3 0.975 0.752 0.719
Rh4 0.525 0.252 0.719
Se1 0.621 0.875 0.633
Se2 0.379 0.125 0.367
Se3 0.121 0.625 0.367
Se4 0.879 0.375 0.633
Br1 0.666 0.380 0.121
Br2 0.334 0.620 0.879
Br3 0.834 0.880 0.121
Br4 0.166 0.120 0.879

=====

Entry 7:
Here is crystalline SiRhSe2Br at its relaxed geometry from Alexandria. Energies are from GGA-PBE.

Results
Crystal system: tetragonal
Calculated density: 5.131 g cm⁻³
Raw formation energy: 0.500 eV per atom
E above lowest polymorph: 0 meV/atom
Magnetic moment: 0.0 Bohr magnetons per cell

a = 4.903 Å, b = 4.903 Å, c = 4.966 Å
α = 90.00°, β = 90.00°, γ = 90.00°
Positions (direct):
Si1 0.500 0.500 0.500
Rh1 0.000 0.000 0.000
Se1 0.000 0.500 0.000
Se2 0.500 0.000 0.000
Br1 0.000 0.000 0.500

=====

Entry 8:
Here is crystalline SiRhSe2Br at its relaxed geometry from Alexandria. Energies are from GGA-PBE.

Results
Crystal system: tetragonal
Calculated density: 5.310 g cm⁻³
Raw formation energy: 0.720 eV per atom
E above lowest polymorph: 220 meV/atom
Magnetic moment: 2.4 Bohr magnetons per cell

a = 4.820 Å, b = 4.820 Å, c = 4.965 Å
α = 90.00°, β = 90.00°, γ = 90.00°
Positions (direct):
Si1 0.000 0.000 0.000
Rh1 0.500 0.500 0.500
Se1 0.000 0.500 0.000
Se2 0.500 0.000 0.000
Br1 0.000 0.000 0.500

=====

Entry 9:
Here is crystalline Sm4RhSeBr2 at its relaxed geometry from Alexandria. Energies are from GGA-PBE.

Results
Crystal system: monoclinic
Calculated density: 6.953 g cm⁻³
Raw formation energy: -1.233 eV per atom
Magnetic moment: 0.0 Bohr magnetons per cell

a = 4.048 Å, b = 7.730 Å, c = 7.541 Å
α = 72.67°, β = 90.00°, γ = 90.00°
Positions (direct):
Sm1 0.000 0.708 0.752
Sm2 0.000 0.292 0.248
Sm3 0.500 0.700 0.290
Sm4 0.500 0.300 0.710
Rh1 0.000 0.500 0.500
Se1 0.500 0.500 0.000
Br1 0.000 0.000 0.000
Br2 0.500 0.000 0.500

=====

Entry 10:
Here is crystalline Sm6Rh2SeBr3 at its relaxed geometry from Alexandria. Energies are from GGA-PBE.

Results
Crystal system: monoclinic
Calculated density: 6.913 g cm⁻³
Raw formation energy: -1.190 eV per atom
Magnetic moment: 0.0 Bohr magnetons per cell

a = 7.255 Å, b = 7.255 Å, c = 7.889 Å
α = 98.80°, β = 98.80°, γ = 119.93°
Positions (direct):
Sm1 0.932 0.576 0.800
Sm2 0.709 0.709 0.198
Sm3 0.068 0.424 0.200
Sm4 0.576 0.932 0.800
Sm5 0.291 0.291 0.802
Sm6 0.424 0.068 0.200
Rh1 0.332 0.668 0.000
Rh2 0.668 0.332 0.000
Se1 0.000 0.000 0.000
Br1 0.160 0.840 0.500
Br2 0.840 0.160 0.500
Br3 0.500 0.500 0.500

=====

Entry 11:
Here is crystalline SnRhSe2Br at its relaxed geometry from Alexandria. Energies are from GGA-PBE.

Results
Crystal system: tetragonal
Calculated density: 6.181 g cm⁻³
Raw formation energy: 0.023 eV per atom
E above lowest polymorph: 0 meV/atom
Magnetic moment: 0.0 Bohr magnetons per cell

a = 4.964 Å, b = 4.964 Å, c = 5.010 Å
α = 90.00°, β = 90.00°, γ = 90.00°
Positions (direct):
Se1 0.000 0.500 0.000
Se2 0.500 0.000 0.000
Rh1 0.000 0.000 0.000
Sn1 0.500 0.500 0.500
Br1 0.000 0.000 0.500

=====

Entry 12:
Here is crystalline SrRhSeBr2 at its relaxed geometry from Alexandria. Energies are from GGA-PBE.

Results
Crystal system: tetragonal
Calculated density: 3.555 g cm⁻³
Raw formation energy: 0.116 eV per atom
E above lowest polymorph: 978 meV/atom
Magnetic moment: 1.6 Bohr magnetons per cell

a = 5.784 Å, b = 5.784 Å, c = 5.994 Å
α = 90.00°, β = 90.00°, γ = 90.00°
Positions (direct):
Sr1 0.000 0.000 0.000
Rh1 0.500 0.500 0.500
Se1 0.000 0.000 0.500
Br1 0.000 0.500 0.000
Br2 0.500 0.000 0.000

=====

Entry 13:
Here is crystalline SrRhSeBr2 at its relaxed geometry from Alexandria. Energies are from GGA-PBE.

Results
Crystal system: tetragonal
Calculated density: 5.418 g cm⁻³
Raw formation energy: -0.862 eV per atom
E above lowest polymorph: 0 meV/atom
Magnetic moment: 0.0 Bohr magnetons per cell

a = 5.074 Å, b = 5.074 Å, c = 5.110 Å
α = 90.00°, β = 90.00°, γ = 90.00°
Positions (direct):
Sr1 0.500 0.500 0.500
Rh1 0.000 0.000 0.000
Se1 0.000 0.000 0.500
Br1 0.000 0.500 0.000
Br2 0.500 0.000 0.000

=====

Entry 14:
Here is crystalline TaRhSe2Br at its relaxed geometry from Alexandria. Energies are from GGA-PBE.

Results
Crystal system: tetragonal
Calculated density: 7.594 g cm⁻³
Raw formation energy: 0.804 eV per atom
E above lowest polymorph: 321 meV/atom
Magnetic moment: 2.0 Bohr magnetons per cell

a = 4.873 Å, b = 4.873 Å, c = 4.803 Å
α = 90.00°, β = 90.00°, γ = 90.00°
Positions (direct):
Rh1 0.000 0.000 0.000
Se1 0.000 0.500 0.000
Se2 0.500 0.000 0.000
Br1 0.000 0.000 0.500
Ta1 0.500 0.500 0.500

=====

Entry 15:
Here is crystalline TaRhSe2Br at its relaxed geometry from Alexandria. Energies are from GGA-PBE.

Results
Crystal system: tetragonal
Calculated density: 6.760 g cm⁻³
Raw formation energy: 0.483 eV per atom
E above lowest polymorph: 0 meV/atom
Magnetic moment: 1.5 Bohr magnetons per cell

a = 5.015 Å, b = 5.015 Å, c = 5.095 Å
α = 90.00°, β = 90.00°, γ = 90.00°
Positions (direct):
Rh1 0.500 0.500 0.500
Se1 0.000 0.500 0.000
Se2 0.500 0.000 0.000
Br1 0.000 0.000 0.500
Ta1 0.000 0.000 0.000

=====

Entry 16:
Here is crystalline TaRhSeBr2 at its relaxed geometry from Alexandria. Energies are from GGA-PBE.

Results
Crystal system: tetragonal
Calculated density: 6.949 g cm⁻³
Raw formation energy: 0.572 eV per atom
E above lowest polymorph: 27 meV/atom
Magnetic moment: 0.0 Bohr magnetons per cell

a = 4.935 Å, b = 5.127 Å, c = 4.935 Å
α = 90.00°, β = 90.00°, γ = 90.00°
Positions (direct):
Rh1 0.000 0.500 0.000
Se1 0.500 0.500 0.500
Br1 0.000 0.000 0.500
Br2 0.500 0.000 0.000
Ta1 0.000 0.000 0.000

=====

Entry 17:
Here is crystalline TaRhSeBr2 at its relaxed geometry from Alexandria. Energies are from GGA-PBE.

Results
Crystal system: tetragonal
Calculated density: 7.261 g cm⁻³
Raw formation energy: 0.873 eV per atom
E above lowest polymorph: 329 meV/atom
Magnetic moment: 2.6 Bohr magnetons per cell

a = 4.899 Å, b = 4.899 Å, c = 4.979 Å
α = 90.00°, β = 90.00°, γ = 90.00°
Positions (direct):
Rh1 0.000 0.000 0.000
Se1 0.000 0.000 0.500
Br1 0.000 0.500 0.000
Br2 0.500 0.000 0.000
Ta1 0.500 0.500 0.500

=====

Entry 18:
Here is crystalline TaRhSeBr2 at its relaxed geometry from Alexandria. Energies are from GGA-PBE.

Results
Crystal system: tetragonal
Calculated density: 6.591 g cm⁻³
Raw formation energy: 0.544 eV per atom
E above lowest polymorph: 0 meV/atom
Magnetic moment: 1.4 Bohr magnetons per cell

a = 5.109 Å, b = 5.109 Å, c = 5.045 Å
α = 90.00°, β = 90.00°, γ = 90.00°
Positions (direct):
Rh1 0.500 0.500 0.500
Se1 0.000 0.000 0.500
Br1 0.000 0.500 0.000
Br2 0.500 0.000 0.000
Ta1 0.000 0.000 0.000

=====

Entry 19:
Here is crystalline Tb4RhSe2Br at its relaxed geometry from Alexandria. Energies are from GGA-PBE.

Results
Crystal system: monoclinic
Calculated density: 8.091 g cm⁻³
Raw formation energy: -1.335 eV per atom
Magnetic moment: 0.0 Bohr magnetons per cell

a = 3.993 Å, b = 7.258 Å, c = 7.271 Å
α = 71.97°, β = 90.00°, γ = 90.00°
Positions (direct):
Tb1 0.000 0.758 0.725
Tb2 0.000 0.242 0.275
Tb3 0.500 0.729 0.281
Tb4 0.500 0.271 0.719
Rh1 0.000 0.500 0.500
Se1 0.000 0.000 0.000
Se2 0.500 0.000 0.500
Br1 0.500 0.500 0.000

=====

Entry 20:
Here is crystalline TcRhSe2Br at its relaxed geometry from Alexandria. Energies are from GGA-PBE.

Results
Crystal system: tetragonal
Calculated density: 6.044 g cm⁻³
Raw formation energy: 0.789 eV per atom
E above lowest polymorph: 0 meV/atom
Magnetic moment: 1.7 Bohr magnetons per cell

a = 4.748 Å, b = 4.748 Å, c = 5.348 Å
α = 90.00°, β = 90.00°, γ = 90.00°
Positions (direct):
Se1 0.000 0.500 0.000
Se2 0.500 0.000 0.000
Rh1 0.500 0.500 0.500
Tc1 0.000 0.000 0.000
Br1 0.000 0.000 0.500